(1)
The following is a DFT calculation (GGA-PBE) of crystalline Zn2Cr2I at its relaxed geometry.

## Properties
As for the total magnetic moment: 0.76 μB/f.u. The value obtained for the energy above the most stable polymorph in this dataset is 120 meV/atom. The value obtained for the density of states at the Fermi level is 0.67 states/eV/atom. The formation energy (no corrections) comes out at 60 kJ per mole of atoms. The uncorrected energy is -0.298 Ry/atom.

Lattice parameters (Å, degrees): 7.129 7.129 3.400 90.00 90.00 90.00
Last column: magnetic moment on the atom in μB.
Fractional coordinates of all 10 atoms:
Cr  0.403  0.903  0.000  0.35
Cr  0.597  0.097  0.000  0.35
Cr  0.097  0.403  0.000  0.35
Cr  0.903  0.597  0.000  0.35
Zn  0.185  0.685  0.500  0.00
Zn  0.685  0.815  0.500  0.00
Zn  0.315  0.185  0.500  0.00
Zn  0.815  0.315  0.500  0.00
I  0.000  0.000  0.000  0.00
I  0.500  0.500  0.000  0.00

(2)
The following is a DFT calculation (GGA-PBE) of crystalline ScPaMnRu at its relaxed geometry.

## Properties
As for the total magnetic moment: 0.02 μB/f.u. The value obtained for the density of states at the Fermi level is 0.87 states/eV/atom. The uncorrected energy is -0.648 Ry/atom.

Lattice parameters (Å, degrees): 4.656 4.656 4.656 60.00 60.00 60.00
Fractional coordinates of all 4 atoms:
Pa  0.500  0.500  0.500
Sc  0.000  0.000  0.000
Mn  0.750  0.750  0.750
Ru  0.250  0.250  0.250

(3)
The following is a DFT calculation (GGA-PBE) of crystalline Cu3Ag at its relaxed geometry.

## Properties
As for the total magnetic moment: 0.00 μB/f.u. The value obtained for the density of states at the Fermi level is 0.25 states/eV/atom. The uncorrected energy is -0.271 Ry/atom.

Lattice parameters (Å, degrees): 5.444 4.335 4.584 90.00 90.00 90.00
Fractional coordinates of all 8 atoms:
Cu  0.000  0.500  0.313
Cu  0.749  0.000  0.159
Cu  0.751  0.500  0.841
Cu  0.500  0.000  0.687
Cu  0.249  0.500  0.841
Cu  0.251  0.000  0.159
Ag  0.000  0.000  0.658
Ag  0.500  0.500  0.342

(4)
The following is a DFT calculation (GGA-PBE) of crystalline RbAl2AuI8 at its relaxed geometry.

## Properties
As for the total magnetic moment: 0.00 μB/f.u. The value obtained for the density of states at the Fermi level is 0.00 states/eV/atom. The formation energy (no corrections) comes out at -64 kJ per mole of atoms. The uncorrected energy is -0.197 Ry/atom.

Lattice parameters (Å, degrees): 7.460 7.460 10.677 90.00 90.00 120.00
Fractional coordinates of all 12 atoms:
I  0.333  0.667  0.987
I  0.990  0.669  0.326
I  0.667  0.333  0.013
I  0.010  0.331  0.674
I  0.321  0.990  0.674
I  0.679  0.010  0.326
I  0.669  0.679  0.674
I  0.331  0.321  0.326
Al  0.333  0.667  0.748
Al  0.667  0.333  0.252
Rb  0.000  0.000  0.000
Au  0.000  0.000  0.500

(5)
The following is a DFT calculation (GGA-PBE) of crystalline SrYAgBr6 at its relaxed geometry.

## Properties
As for the total magnetic moment: 0.00 μB/f.u. The value obtained for the density of states at the Fermi level is 0.00 states/eV/atom. The formation energy (no corrections) comes out at -153 kJ per mole of atoms. The uncorrected energy is -0.289 Ry/atom.

Lattice parameters (Å, degrees): 7.266 7.266 13.555 90.00 90.00 120.00
Fractional coordinates of all 18 atoms:
Br  0.990  0.644  0.370
Br  0.010  0.356  0.630
Br  0.990  0.345  0.130
Br  0.655  0.644  0.130
Br  0.644  0.655  0.630
Br  0.010  0.655  0.870
Br  0.356  0.010  0.130
Br  0.345  0.990  0.630
Br  0.644  0.990  0.870
Br  0.356  0.345  0.370
Br  0.345  0.356  0.870
Br  0.655  0.010  0.370
Ag  0.667  0.333  0.750
Ag  0.333  0.667  0.250
Sr  0.000  0.000  0.500
Sr  0.000  0.000  0.000
Y  0.333  0.667  0.750
Y  0.667  0.333  0.250

(6)
The following is a DFT calculation (GGA-PBE) of crystalline MgCdGa2 at its relaxed geometry.

## Properties
As for the total magnetic moment: 0.00 μB/f.u. The value obtained for the energy above the most stable polymorph in this dataset is 52 meV/atom. The value obtained for the density of states at the Fermi level is 0.18 states/eV/atom. The uncorrected energy is -0.158 Ry/atom.

Lattice parameters (Å, degrees): 4.874 4.874 4.874 60.00 60.00 60.00
Fractional coordinates of all 4 atoms:
Ga  0.250  0.250  0.250
Ga  0.750  0.750  0.750
Cd  0.500  0.500  0.500
Mg  0.000  0.000  0.000

(7)
The following is a DFT calculation (GGA-PBE) of crystalline DyCdCuSn at its relaxed geometry.

## Properties
As for the total magnetic moment: 0.00 μB/f.u. The value obtained for the density of states at the Fermi level is 0.27 states/eV/atom. The uncorrected energy is -0.265 Ry/atom.

Lattice parameters (Å, degrees): 4.994 4.994 4.994 60.00 60.00 60.00
Fractional coordinates of all 4 atoms:
Cd  0.500  0.500  0.500
Dy  0.000  0.000  0.000
Sn  0.250  0.250  0.250
Cu  0.750  0.750  0.750

(8)
The following is a DFT calculation (GGA-PBE) of crystalline PuRuPtRh at its relaxed geometry.

## Properties
As for the total magnetic moment: 3.00 μB/f.u. The value obtained for the density of states at the Fermi level is 1.44 states/eV/atom. The uncorrected energy is -0.699 Ry/atom.

Lattice parameters (Å, degrees): 4.579 4.579 4.579 60.00 60.00 60.00
Last column: magnetic moment on the atom in μB.
Fractional coordinates of all 4 atoms:
Rh  0.500  0.500  0.500  -0.46
Pt  0.250  0.250  0.250  -0.20
Ru  0.000  0.000  0.000  -1.11
Pu  0.750  0.750  0.750  4.64

(9)
The following is a DFT calculation (GGA-PBE) of crystalline MgNbH at its relaxed geometry.

## Properties
As for the total magnetic moment: 0.00 μB/f.u. The value obtained for the energy above the most stable polymorph in this dataset is 0 meV/atom. The value obtained for the density of states at the Fermi level is 0.31 states/eV/atom. The uncorrected energy is -0.375 Ry/atom.

Lattice parameters (Å, degrees): 3.260 3.050 10.634 110.07 99.36 57.83
Fractional coordinates of all 6 atoms:
Nb  0.778  0.844  0.383
Nb  0.222  0.156  0.617
H  0.441  0.423  0.300
H  0.559  0.577  0.700
Mg  0.832  0.198  0.871
Mg  0.168  0.802  0.129

(10)
The following is a DFT calculation (GGA-PBE) of crystalline BaHg2Ru at its relaxed geometry.

## Properties
As for the total magnetic moment: 0.61 μB/f.u. The value obtained for the density of states at the Fermi level is 0.75 states/eV/atom. The uncorrected energy is -0.180 Ry/atom.

Lattice parameters (Å, degrees): 5.440 6.149 3.596 77.04 81.14 113.41
Last column: magnetic moment on the atom in μB.
Fractional coordinates of all 4 atoms:
Ba  0.500  0.500  0.000  -0.03
Hg  0.000  0.000  0.000  -0.01
Hg  0.500  0.000  0.500  -0.01
Ru  0.000  0.500  0.500  0.69

(11)
The following is a DFT calculation (GGA-PBE) of crystalline Ta4CoN at its relaxed geometry.

## Properties
As for the total magnetic moment: 0.00 μB/f.u. The value obtained for the density of states at the Fermi level is 0.84 states/eV/atom. The formation energy (no corrections) comes out at -25 kJ per mole of atoms. The uncorrected energy is -0.789 Ry/atom.

Lattice parameters (Å, degrees): 6.183 5.517 5.511 90.00 104.27 90.00
Fractional coordinates of all 12 atoms:
Ta  0.125  0.365  0.856
Ta  0.375  0.865  0.144
Ta  0.875  0.635  0.144
Ta  0.206  0.840  0.603
Ta  0.294  0.340  0.397
Ta  0.706  0.660  0.603
Ta  0.625  0.135  0.856
Ta  0.794  0.160  0.397
Co  0.000  0.000  0.000
Co  0.500  0.500  0.000
N  0.000  0.500  0.500
N  0.500  0.000  0.500

(12)
The following is a DFT calculation (GGA-PBE) of crystalline K2Ag4Se3 at its relaxed geometry.

## Properties
As for the total magnetic moment: 0.00 μB/f.u. The value obtained for the density of states at the Fermi level is 0.07 states/eV/atom. The formation energy (no corrections) comes out at -50 kJ per mole of atoms. The uncorrected energy is -0.234 Ry/atom.

Lattice parameters (Å, degrees): 9.384 9.384 12.006 72.22 72.22 27.54
Fractional coordinates of all 18 atoms:
Ag  0.414  0.414  0.082
Ag  0.586  0.586  0.918
Ag  0.990  0.990  0.878
Ag  0.411  0.411  0.516
Ag  0.019  0.019  0.370
Ag  0.010  0.010  0.122
Ag  0.981  0.981  0.630
Ag  0.589  0.589  0.484
K  0.185  0.185  0.657
K  0.336  0.336  0.838
K  0.664  0.664  0.162
K  0.815  0.815  0.343
Se  0.163  0.163  0.384
Se  0.147  0.147  0.958
Se  0.534  0.534  0.724
Se  0.853  0.853  0.042
Se  0.466  0.466  0.276
Se  0.837  0.837  0.616

(13)
The following is a DFT calculation (GGA-PBE) of crystalline PmAl4Au at its relaxed geometry.

## Properties
As for the total magnetic moment: 0.00 μB/f.u. The value obtained for the density of states at the Fermi level is 0.27 states/eV/atom. The uncorrected energy is -0.316 Ry/atom.

Lattice parameters (Å, degrees): 4.283 6.872 8.251 90.00 105.04 90.00
Fractional coordinates of all 12 atoms:
Al  0.500  0.000  0.000
Al  0.070  0.750  0.141
Al  0.500  0.500  0.000
Al  0.323  0.053  0.647
Al  0.323  0.447  0.647
Al  0.677  0.947  0.353
Al  0.930  0.250  0.859
Al  0.677  0.553  0.353
Au  0.771  0.250  0.543
Au  0.229  0.750  0.457
Pm  0.113  0.250  0.225
Pm  0.887  0.750  0.775

(14)
The following is a DFT calculation (GGA-PBE) of crystalline ZnGeAsIrAu at its relaxed geometry.

## Properties
As for the total magnetic moment: 0.00 μB/f.u. The value obtained for the energy above the most stable polymorph in this dataset is 100 meV/atom. The value obtained for the density of states at the Fermi level is 0.47 states/eV/atom. The uncorrected energy is -0.335 Ry/atom.

Lattice parameters (Å, degrees): 7.422 3.174 8.698 90.00 118.56 90.00
Fractional coordinates of all 10 atoms:
Ge  0.941  0.000  0.645
Ge  0.941  0.500  0.145
Zn  0.265  0.500  0.698
Zn  0.265  0.000  0.198
Au  0.676  0.500  0.823
Au  0.676  0.000  0.323
As  0.409  0.000  0.990
As  0.409  0.500  0.490
Ir  0.099  0.000  0.407
Ir  0.099  0.500  0.907

(15)
The following is a DFT calculation (GGA-PBE) of crystalline LiCrIn2 at its relaxed geometry.

## Properties
As for the total magnetic moment: 4.39 μB/f.u. The value obtained for the density of states at the Fermi level is 0.30 states/eV/atom. The uncorrected energy is -0.299 Ry/atom.

Lattice parameters (Å, degrees): 4.841 4.841 4.841 60.00 60.00 60.00
Last column: magnetic moment on the atom in μB.
Fractional coordinates of all 4 atoms:
In  0.250  0.250  0.250  -0.03
In  0.000  0.000  0.000  -0.03
Cr  0.500  0.500  0.500  3.85
Li  0.750  0.750  0.750  0.01

(16)
The following is a DFT calculation (GGA-PBE) of crystalline MgTcAu2O at its relaxed geometry.

## Properties
As for the total magnetic moment: 0.63 μB/f.u. The value obtained for the density of states at the Fermi level is 0.71 states/eV/atom. The formation energy (no corrections) comes out at -10 kJ per mole of atoms. The uncorrected energy is -0.352 Ry/atom.

Lattice parameters (Å, degrees): 5.253 3.675 5.253 90.00 90.00 90.00
Last column: magnetic moment on the atom in μB.
Fractional coordinates of all 5 atoms:
Mg  0.500  0.500  0.500  0.00
Au  0.000  0.000  0.500  0.05
Au  0.500  0.000  0.000  0.01
Tc  0.000  0.000  0.000  0.56
O  0.000  0.500  0.000  -0.01

(17)
The following is a DFT calculation (GGA-PBE) of crystalline ScTa2Hg at its relaxed geometry.

## Properties
As for the total magnetic moment: 0.00 μB/f.u. The value obtained for the density of states at the Fermi level is 1.13 states/eV/atom. The uncorrected energy is -0.541 Ry/atom.

Lattice parameters (Å, degrees): 5.259 5.259 5.259 132.36 132.36 69.67
Fractional coordinates of all 4 atoms:
Ta  0.000  0.000  0.000
Ta  0.250  0.750  0.500
Sc  0.750  0.250  0.500
Hg  0.500  0.500  0.000

(18)
The following is a DFT calculation (GGA-PBE) of crystalline SrTcIr4 at its relaxed geometry.

## Properties
As for the total magnetic moment: 2.83 μB/f.u. The value obtained for the density of states at the Fermi level is 1.31 states/eV/atom. The uncorrected energy is -0.559 Ry/atom.

Lattice parameters (Å, degrees): 5.310 5.310 5.310 60.00 60.00 60.00
Last column: magnetic moment on the atom in μB.
Fractional coordinates of all 6 atoms:
Ir  0.877  0.374  0.374  0.11
Ir  0.374  0.374  0.877  0.11
Ir  0.374  0.877  0.374  0.11
Ir  0.374  0.374  0.374  0.11
Sr  0.750  0.750  0.750  0.02
Tc  0.000  0.000  0.000  2.11

(19)
The following is a DFT calculation (GGA-PBE) of crystalline KB2H4 at its relaxed geometry.

## Properties
As for the total magnetic moment: 0.24 μB/f.u. The value obtained for the energy above the most stable polymorph in this dataset is 0 meV/atom. The value obtained for the density of states at the Fermi level is 0.10 states/eV/atom. The uncorrected energy is -0.298 Ry/atom.

Lattice parameters (Å, degrees): 2.732 5.638 4.489 90.84 90.00 75.99
Last column: magnetic moment on the atom in μB.
Fractional coordinates of all 7 atoms:
H  0.598  0.806  0.549  0.00
H  0.690  0.620  0.161  0.00
H  0.402  0.194  0.451  0.00
H  0.310  0.380  0.839  0.00
K  0.000  0.000  0.000  0.00
B  0.301  0.398  0.568  0.07
B  0.699  0.602  0.432  0.07

(20)
The following is a DFT calculation (GGA-PBE) of crystalline Ce2HSe3 at its relaxed geometry.

## Properties
As for the total magnetic moment: 1.05 μB/f.u. The value obtained for the energy above the most stable polymorph in this dataset is 0 meV/atom. The value obtained for the density of states at the Fermi level is 1.53 states/eV/atom. The uncorrected energy is -0.428 Ry/atom.

Lattice parameters (Å, degrees): 4.037 11.437 11.217 90.00 90.00 90.00
Last column: magnetic moment on the atom in μB.
Fractional coordinates of all 24 atoms:
Se  0.250  0.377  0.056  -0.03
Se  0.250  0.704  0.208  -0.04
Se  0.250  0.796  0.708  -0.04
Se  0.750  0.623  0.944  -0.03
Se  0.750  0.204  0.292  -0.04
Se  0.750  0.877  0.444  -0.03
Se  0.250  0.440  0.377  -0.03
Se  0.250  0.060  0.877  -0.03
Se  0.250  0.123  0.556  -0.03
Se  0.750  0.296  0.792  -0.04
Se  0.750  0.560  0.623  -0.03
Se  0.750  0.940  0.123  -0.03
Ce  0.750  0.982  0.699  0.58
Ce  0.750  0.319  0.534  0.52
Ce  0.250  0.018  0.301  0.58
Ce  0.250  0.681  0.466  0.52
Ce  0.250  0.819  0.966  0.52
Ce  0.250  0.482  0.801  0.58
Ce  0.750  0.518  0.199  0.58
Ce  0.750  0.181  0.034  0.52
H  0.750  0.872  0.875  -0.01
H  0.250  0.128  0.125  -0.01
H  0.750  0.628  0.375  -0.01
H  0.250  0.372  0.625  -0.01